Entry 1:
# Na5Ac3F12 (GGA-PBE, optimized geometry)
# Calculated volume   358.5 Å³/f.u.
# ΔE_f (raw)   -3.2082 eV/atom
# Magnetic moment   0.02 μB per atom
data_Na5Ac3F12
_space_group_name_H-M_alt 'P 1'
_space_group_IT_number 1
_cell_length_a 12.305
_cell_length_b 12.305
_cell_length_c 12.305
_cell_angle_alpha 109.47
_cell_angle_beta 109.47
_cell_angle_gamma 109.47
loop_
_space_group_symop_operation_xyz
'x,y,z'
loop_
_atom_site_label
_atom_site_fract_x
_atom_site_fract_y
_atom_site_fract_z
Ac1 0.750 0.375 0.125
Ac2 0.875 0.750 0.125
Ac3 0.375 0.750 0.625
Ac4 0.250 0.125 0.375
Ac5 0.875 0.125 0.250
Ac6 0.375 0.625 0.250
Ac7 0.625 0.375 0.750
Ac8 0.125 0.875 0.750
Ac9 0.750 0.875 0.625
Ac10 0.625 0.250 0.375
Ac11 0.125 0.250 0.875
Ac12 0.250 0.625 0.875
Na1 0.125 0.375 0.250
Na2 0.000 0.500 0.000
Na3 0.000 0.000 0.000
Na4 0.375 0.250 0.125
Na5 0.500 0.000 0.500
Na6 0.500 0.500 0.000
Na7 0.125 0.750 0.375
Na8 0.750 0.125 0.875
Na9 0.750 0.625 0.375
Na10 0.375 0.125 0.750
Na11 0.625 0.875 0.250
Na12 0.500 0.500 0.500
Na13 0.500 0.000 0.000
Na14 0.000 0.000 0.500
Na15 0.250 0.375 0.625
Na16 0.250 0.875 0.125
Na17 0.000 0.500 0.500
Na18 0.875 0.250 0.625
Na19 0.625 0.750 0.875
Na20 0.875 0.625 0.750
F1 0.723 0.143 0.055
F2 0.332 0.555 0.412
F3 0.945 0.357 0.277
F4 0.555 0.223 0.143
F5 0.580 0.723 0.668
F6 0.945 0.588 0.168
F7 0.332 0.777 0.420
F8 0.088 0.920 0.143
F9 0.588 0.945 0.668
F10 0.723 0.580 0.168
F11 0.777 0.445 0.357
F12 0.832 0.912 0.055
F13 0.143 0.723 0.555
F14 0.357 0.412 0.080
F15 0.080 0.912 0.357
F16 0.420 0.143 0.588
F17 0.080 0.168 0.223
F18 0.445 0.668 0.088
F19 0.832 0.920 0.277
F20 0.143 0.420 0.088
F21 0.357 0.945 0.777
F22 0.588 0.643 0.420
F23 0.912 0.832 0.555
F24 0.777 0.332 0.920
F25 0.412 0.357 0.580
F26 0.088 0.168 0.445
F27 0.223 0.668 0.080
F28 0.168 0.080 0.723
F29 0.643 0.055 0.223
F30 0.857 0.580 0.912
F31 0.555 0.332 0.912
F32 0.580 0.857 0.412
F33 0.920 0.832 0.777
F34 0.920 0.088 0.643
F35 0.857 0.277 0.445
F36 0.168 0.088 0.945
F37 0.643 0.588 0.920
F38 0.412 0.055 0.332
F39 0.277 0.420 0.832
F40 0.223 0.555 0.643
F41 0.912 0.080 0.857
F42 0.668 0.223 0.580
F43 0.445 0.777 0.857
F44 0.055 0.412 0.832
F45 0.420 0.277 0.332
F46 0.055 0.643 0.723
F47 0.668 0.445 0.588
F48 0.277 0.857 0.945

***

Entry 2:
# NaAcF4 (GGA-PBE, optimized geometry)
# Calculated volume   104.5 Å³/f.u.
# ΔE_f (raw)   -3.6941 eV/atom
# Magnetic moment   0.02 μB per atom
data_NaAcF4
_space_group_name_H-M_alt 'P 1'
_space_group_IT_number 1
_cell_length_a 4.148
_cell_length_b 7.886
_cell_length_c 7.513
_cell_angle_alpha 90.00
_cell_angle_beta 90.00
_cell_angle_gamma 121.74
loop_
_space_group_symop_operation_xyz
'x,y,z'
loop_
_atom_site_label
_atom_site_fract_x
_atom_site_fract_y
_atom_site_fract_z
Na1 0.796 0.046 0.750
Na2 0.204 0.954 0.250
Ac1 0.746 0.496 0.750
Ac2 0.254 0.504 0.250
F1 0.468 0.718 0.750
F2 0.532 0.282 0.250
F3 0.386 0.136 0.750
F4 0.614 0.864 0.250
F5 0.889 0.639 0.061
F6 0.111 0.361 0.561
F7 0.889 0.639 0.439
F8 0.111 0.361 0.939

***

Entry 3:
# NaAcF2 (GGA-PBE, optimized geometry)
# Calculated volume   77.3 Å³/f.u.
# ΔE_f (raw)   -1.9362 eV/atom
# Magnetic moment   0.00 μB per atom
data_NaAcF2
_space_group_name_H-M_alt 'P 1'
_space_group_IT_number 1
_cell_length_a 3.275
_cell_length_b 3.275
_cell_length_c 7.210
_cell_angle_alpha 90.00
_cell_angle_beta 90.00
_cell_angle_gamma 90.00
loop_
_space_group_symop_operation_xyz
'x,y,z'
loop_
_atom_site_label
_atom_site_fract_x
_atom_site_fract_y
_atom_site_fract_z
Na1 0.500 0.500 0.000
Ac1 0.500 0.500 0.500
F1 0.000 0.000 0.795
F2 0.000 0.000 0.205

***

Entry 4:
# Na4Ac3F12 (GGA-PBE, optimized geometry)
# Calculated volume   334.2 Å³/f.u.
# ΔE_f (raw)   -3.3931 eV/atom
# Magnetic moment   0.03 μB per atom
data_Na4Ac3F12
_space_group_name_H-M_alt 'P 1'
_space_group_IT_number 1
_cell_length_a 7.572
_cell_length_b 7.572
_cell_length_c 7.572
_cell_angle_alpha 109.47
_cell_angle_beta 109.47
_cell_angle_gamma 109.47
loop_
_space_group_symop_operation_xyz
'x,y,z'
loop_
_atom_site_label
_atom_site_fract_x
_atom_site_fract_y
_atom_site_fract_z
Na1 0.500 0.500 0.500
Na2 0.500 0.000 0.000
Na3 0.000 0.000 0.500
Na4 0.000 0.500 0.000
Ac1 0.500 0.500 0.000
Ac2 0.000 0.500 0.500
Ac3 0.500 0.000 0.500
F1 0.234 0.662 0.896
F2 0.766 0.338 0.104
F3 0.234 0.338 0.572
F4 0.338 0.104 0.766
F5 0.896 0.234 0.662
F6 0.428 0.766 0.662
F7 0.662 0.428 0.766
F8 0.104 0.766 0.338
F9 0.766 0.662 0.428
F10 0.662 0.896 0.234
F11 0.572 0.234 0.338
F12 0.338 0.572 0.234

***

Entry 5:
# NaAcF2 (GGA-PBE, optimized geometry)
# Calculated volume   73.8 Å³/f.u.
# ΔE_f (raw)   -2.4184 eV/atom
# Magnetic moment   0.04 μB per atom
data_NaAcF2
_space_group_name_H-M_alt 'P 1'
_space_group_IT_number 1
_cell_length_a 3.614
_cell_length_b 3.614
_cell_length_c 6.849
_cell_angle_alpha 74.70
_cell_angle_beta 74.70
_cell_angle_gamma 60.00
loop_
_space_group_symop_operation_xyz
'x,y,z'
loop_
_atom_site_label
_atom_site_fract_x
_atom_site_fract_y
_atom_site_fract_z
Na1 0.000 0.000 0.000
Ac1 0.500 0.500 0.500
F1 0.732 0.732 0.805
F2 0.268 0.268 0.195

***

Entry 6:
# Na2Ac2F7 (GGA-PBE, optimized geometry)
# Calculated volume   195.9 Å³/f.u.
# ΔE_f (raw)   -3.4047 eV/atom
# Magnetic moment   0.00 μB per atom
data_Na2Ac2F7
_space_group_name_H-M_alt 'P 1'
_space_group_IT_number 1
_cell_length_a 3.966
_cell_length_b 7.775
_cell_length_c 7.775
_cell_angle_alpha 58.76
_cell_angle_beta 75.15
_cell_angle_gamma 75.15
loop_
_space_group_symop_operation_xyz
'x,y,z'
loop_
_atom_site_label
_atom_site_fract_x
_atom_site_fract_y
_atom_site_fract_z
Na1 0.500 0.740 0.260
Na2 0.500 0.260 0.740
Ac1 0.226 0.774 0.774
Ac2 0.774 0.226 0.226
F1 0.328 0.971 0.372
F2 0.672 0.628 0.029
F3 0.672 0.029 0.628
F4 0.328 0.372 0.971
F5 0.000 0.000 0.000
F6 0.160 0.340 0.340
F7 0.840 0.660 0.660